Density functional theory data (SCAN) for a crystal of TlCu2Rh relaxed with PBEsol.

Lattice parameters (Å, degrees): 4.328 4.328 4.328 60.00 60.00 60.00
Positions (direct):
Cu 0.750 0.750 0.750
Cu 0.250 0.250 0.250
Rh 0.000 0.000 0.000
Tl 0.500 0.500 0.500

Values from the calculation:
- space-group type = Fm-3m, No. 225
- total magnetization (μB per formula unit) = 0.00
- distance to the lowest polymorph of the same formula (meV per atom) = 121.4
- electronic total energy (eV/atom) = -33.91
- formation enthalpy at 0 K (eV per atom) = 0.220